No. 1
# Hf4SnAu2 (GGA-PBE, relaxed)
# Formation enthalpy at 0 K, meV/atom: 522
# Mass density, g cm⁻³: 11.23
# Total magnetic moment, μB per atom: 0.000
data_Hf4SnAu2
_chemical_formula_sum 'Hf4 Sn1 Au2'
_symmetry_space_group_name_H-M 'P 1'
_symmetry_Int_Tables_number 1
_cell_length_a 5.143
_cell_length_b 5.143
_cell_length_c 7.765
_cell_angle_alpha 70.66
_cell_angle_beta 70.66
_cell_angle_gamma 90.00
loop_
_symmetry_equiv_pos_as_xyz
'x,y,z'
loop_
_atom_site_label
_atom_site_type_symbol
_atom_site_fract_x
_atom_site_fract_y
_atom_site_fract_z
Au1 Au 0.607 0.607 0.787
Au2 Au 0.393 0.393 0.213
Hf1 Hf 0.000 0.500 0.000
Hf2 Hf 0.797 0.797 0.407
Hf3 Hf 0.500 0.000 0.000
Hf4 Hf 0.203 0.203 0.593
Sn1 Sn 0.000 0.000 0.000



No. 2
# KBeCu2 (GGA-PBE, relaxed)
# Formation enthalpy at 0 K, meV/atom: 396
# Mass density, g cm⁻³: 4.40
# Total magnetic moment, μB per atom: 0.000
data_KBeCu2
_chemical_formula_sum 'K1 Be1 Cu2'
_symmetry_space_group_name_H-M 'P 1'
_symmetry_Int_Tables_number 1
_cell_length_a 2.913
_cell_length_b 2.910
_cell_length_c 7.797
_cell_angle_alpha 90.00
_cell_angle_beta 90.00
_cell_angle_gamma 90.00
loop_
_symmetry_equiv_pos_as_xyz
'x,y,z'
loop_
_atom_site_label
_atom_site_type_symbol
_atom_site_fract_x
_atom_site_fract_y
_atom_site_fract_z
K1 K 0.500 0.500 0.250
Be1 Be 0.500 0.500 0.750
Cu1 Cu 0.000 0.000 0.594
Cu2 Cu 0.000 0.000 0.906



No. 3
# PuPaPt2 (GGA-PBE, relaxed)
# Formation enthalpy at 0 K, meV/atom: -755
# Mass density, g cm⁻³: 16.61
# Total magnetic moment, μB per atom: 1.547
data_PuPaPt2
_chemical_formula_sum 'Pu1 Pa1 Pt2'
_symmetry_space_group_name_H-M 'P 1'
_symmetry_Int_Tables_number 1
_cell_length_a 4.964
_cell_length_b 4.964
_cell_length_c 4.964
_cell_angle_alpha 60.00
_cell_angle_beta 60.00
_cell_angle_gamma 60.00
loop_
_symmetry_equiv_pos_as_xyz
'x,y,z'
loop_
_atom_site_label
_atom_site_type_symbol
_atom_site_fract_x
_atom_site_fract_y
_atom_site_fract_z
Pt1 Pt 0.750 0.750 0.750
Pt2 Pt 0.250 0.250 0.250
Pu1 Pu 0.500 0.500 0.500
Pa1 Pa 0.000 0.000 0.000



Let's list total energy in order: -6.67, -2.86, -9.73 eV per atom.